(1)
The following is a DFT calculation (PBE) of a relaxed structure of Pr4Ge2I.

Cell lengths 9.343, 9.343, 9.338 Å; angles 90.00, 90.00, 90.00 degrees
Space group I-42d (No. 122)
Inequivalent atoms, fractional coordinates:
Pr 0.073 0.175 0.320 [16 per cell]
Ge 0.133 0.250 0.625 [8 per cell]
I 0.000 0.000 0.000 [4 per cell]

Crystal system: tetragonal
Raw formation energy (eV per atom): -0.7986

(2)
The following is a DFT calculation (PBE) of a relaxed structure of ZrAsCl2.

Cell lengths 4.192, 4.192, 8.964 Å; angles 90.00, 90.00, 90.00 degrees
Space group I4/mmm (No. 139)
Inequivalent atoms, fractional coordinates:
Zr 0.000 0.000 0.000 [2 per cell]
As 0.000 0.000 0.500 [2 per cell]
Cl 0.000 0.500 0.250 [4 per cell]

Crystal system: tetragonal
Raw formation energy (eV per atom): -0.3662

(3)
The following is a DFT calculation (PBE) of a relaxed structure of Pr6Nd3Dy.

Cell lengths 11.094, 19.546, 6.574 Å; angles 90.00, 90.00, 90.00 degrees
Space group Cmc2_1 (No. 36)
Inequivalent atoms, fractional coordinates:
Pr 0.000 0.034 0.000 [4 per cell]
Pr 0.000 0.279 0.208 [4 per cell]
Pr 0.171 0.459 0.302 [8 per cell]
Pr 0.233 0.292 0.491 [8 per cell]
Nd 0.000 0.384 0.776 [4 per cell]
Nd 0.174 0.118 0.398 [8 per cell]
Dy 0.000 0.191 0.749 [4 per cell]

E_form (kcal/mol of atoms): 2.991
Crystal system: orthorhombic

(4)
The following is a DFT calculation (PBE) of a relaxed structure of Tb5Y2HoTm.

Cell lengths 5.595, 19.856, 10.585 Å; angles 90.00, 90.00, 90.00 degrees
Space group Cmc2_1 (No. 36)
Inequivalent atoms, fractional coordinates:
Tb 0.000 0.019 0.000 [4 per cell]
Tb 0.000 0.282 0.285 [4 per cell]
Tb 0.000 0.300 0.684 [4 per cell]
Tb 0.000 0.390 0.999 [4 per cell]
Tb 0.000 0.480 0.718 [4 per cell]
Y 0.000 0.110 0.714 [4 per cell]
Y 0.000 0.114 0.294 [4 per cell]
Ho 0.000 0.201 0.987 [4 per cell]
Tm 0.000 0.412 0.438 [4 per cell]

E_form (kcal/mol of atoms): 3.429
Crystal system: orthorhombic

(5)
The following is a DFT calculation (PBE) of a relaxed structure of AcPr12Ho2.

Cell lengths 7.267, 11.812, 25.530 Å; angles 90.00, 90.00, 90.00 degrees
Space group Cmme (No. 67)
Inequivalent atoms, fractional coordinates:
Ac 0.000 0.250 0.015 [4 per cell]
Pr 0.000 0.025 0.440 [8 per cell]
Pr 0.000 0.025 0.922 [8 per cell]
Pr 0.230 0.250 0.584 [8 per cell]
Pr 0.239 0.250 0.141 [8 per cell]
Pr 0.250 0.000 0.202 [8 per cell]
Pr 0.250 0.000 0.327 [8 per cell]
Ho 0.000 0.250 0.275 [4 per cell]
Ho 0.000 0.250 0.729 [4 per cell]

E_form (kcal/mol of atoms): 3.569
Crystal system: orthorhombic

(6)
The following is a DFT calculation (PBE) of a relaxed structure of Y4Tm2Tl.

Cell lengths 16.400, 3.481, 8.550 Å; angles 90.00, 117.10, 90.00 degrees
Space group C2/m (No. 12)
Inequivalent atoms, fractional coordinates:
Y 0.079 0.000 0.207 [4 per cell]
Y 0.137 0.500 0.905 [4 per cell]
Tm 0.218 0.000 0.640 [4 per cell]
Tl 0.000 0.000 0.500 [2 per cell]

E_form (kcal/mol of atoms): 0.109
Crystal system: monoclinic

(7)
The following is a DFT calculation (PBE) of a relaxed structure of Ho5Zn2Cd2.

Cell lengths 17.413, 7.307, 7.328 Å; angles 90.00, 90.00, 90.00 degrees
Space group Cmce (No. 64)
Inequivalent atoms, fractional coordinates:
Ho 0.000 0.000 0.000 [4 per cell]
Ho 0.130 0.184 0.320 [16 per cell]
Zn 0.000 0.120 0.621 [8 per cell]
Cd 0.227 0.000 0.000 [8 per cell]

E_form (kcal/mol of atoms): -5.166
Crystal system: orthorhombic

(8)
The following is a DFT calculation (PBE) of a relaxed structure of LiLa3Mg4.

Cell lengths 3.864, 3.864, 15.574 Å; angles 90.00, 90.00, 90.00 degrees
Space group P4/mmm (No. 123)
Inequivalent atoms, fractional coordinates:
Li 0.000 0.000 0.000 [1 per cell]
La 0.000 0.000 0.242 [2 per cell]
La 0.000 0.000 0.500 [1 per cell]
Mg 0.500 0.500 0.102 [2 per cell]
Mg 0.500 0.500 0.370 [2 per cell]

E_form (kcal/mol of atoms): -1.662
Crystal system: tetragonal

(9)
The following is a DFT calculation (PBE) of a relaxed structure of Nb2InB.

Cell lengths 6.375, 6.375, 6.375 Å; angles 90.00, 90.00, 90.00 degrees
Space group Fm-3m (No. 225)
Inequivalent atoms, fractional coordinates:
Nb 0.250 0.250 0.250 [8 per cell]
In 0.000 0.000 0.000 [4 per cell]
B 0.000 0.000 0.500 [4 per cell]

E_form (kcal/mol of atoms): 15.844
Crystal system: cubic

(10)
The following is a DFT calculation (PBE) of a relaxed structure of Dy2Tm6Zr.

Cell lengths 16.155, 11.451, 5.819 Å; angles 90.00, 98.04, 90.00 degrees
Space group C2/c (No. 15)
Inequivalent atoms, fractional coordinates:
Dy 0.173 0.101 0.069 [8 per cell]
Tm 0.052 0.136 0.518 [8 per cell]
Tm 0.104 0.390 0.810 [8 per cell]
Tm 0.204 0.355 0.355 [8 per cell]
Zr 0.000 0.372 0.250 [4 per cell]

E_form (kcal/mol of atoms): 2.776
Crystal system: monoclinic

(11)
The following is a DFT calculation (PBE) of a relaxed structure of AlAgHg2F8.

Cell lengths 5.067, 5.070, 7.196 Å; angles 86.93, 87.20, 89.06 degrees
Space group P-1 (No. 2)
Inequivalent atoms, fractional coordinates:
Al 0.000 0.000 0.000 [1 per cell]
Ag 0.000 0.000 0.500 [1 per cell]
Hg 0.467 0.468 0.758 [2 per cell]
F 0.157 0.803 0.184 [2 per cell]
F 0.193 0.840 0.816 [2 per cell]
F 0.262 0.257 0.007 [2 per cell]
F 0.319 0.308 0.479 [2 per cell]

Crystal system: triclinic
Raw formation energy (eV per atom): -2.0386

(12)
The following is a DFT calculation (PBE) of a relaxed structure of LaScS2.

Cell lengths 6.874, 6.874, 6.874 Å; angles 90.00, 90.00, 90.00 degrees
Space group Fm-3m (No. 225)
Inequivalent atoms, fractional coordinates:
La 0.000 0.000 0.000 [4 per cell]
Sc 0.000 0.000 0.500 [4 per cell]
S 0.250 0.250 0.250 [8 per cell]

Crystal system: cubic
Raw formation energy (eV per atom): -1.5996

What calculated total energy values result from the calculations? In sequence: -141.97, -36.71, -185.14, -175.16, -273.18, -74.26, -117.13, -23.65, -107.23, -173.99, -46.63, -103.65 eV/cell.
What magnetization values result from the calculations? In sequence: 0.000, 0.000, 0.000, 0.001, 0.000, 0.000, 0.000, 0.000, 0.000, 0.003, 0.000, 5.381 μB per cell.